No. 1
Compound: MnBe2Br
Source: Alexandria via LeMat-Bulk
Functional: PBEsol
Structure: optimized geometry

extended XYZ file:
```
4
Lattice="4.125 0.000 0.000 0.000 4.125 0.000 0.000 0.000 2.957" Properties=species:S:1:pos:R:3 pbc="T T T"
Mn 0.000 0.000 0.000
Be 0.000 2.062 1.478
Be 2.062 0.000 1.478
Br 2.062 2.062 0.000
```

As for the crystal system: tetragonal. The energy above the most stable polymorph in this dataset comes out at 2.03 kcal/mol of atoms. Its uncorrected formation energy is 0.704 eV per atom.



No. 2
Compound: Ag2Br3
Source: Alexandria via LeMat-Bulk
Functional: PBEsol
Structure: optimized geometry

extended XYZ file:
```
10
Lattice="3.425 1.977 6.181 -3.425 1.977 6.181 0.000 -3.955 6.181" Properties=species:S:1:pos:R:3 pbc="T T T"
Ag 0.000 0.000 2.987
Ag 0.000 0.000 6.284
Ag 0.000 0.000 12.259
Ag 0.000 0.000 15.556
Br -2.314 -0.054 7.726
Br -1.110 -2.031 10.817
Br 1.204 -1.977 7.726
Br -1.204 1.977 10.817
Br 1.110 2.031 7.726
Br 2.314 0.054 10.817
```

As for the crystal system: trigonal. The energy above the most stable polymorph in this dataset comes out at 0.00 kcal/mol of atoms. Its uncorrected formation energy is -0.231 eV per atom.



No. 3
Compound: HoAl4Ni
Source: Alexandria via LeMat-Bulk
Functional: PBEsol
Structure: optimized geometry

extended XYZ file:
```
12
Lattice="2.013 -7.616 0.000 2.013 7.616 0.000 0.000 0.000 6.540" Properties=species:S:1:pos:R:3 pbc="T T T"
Ho 2.013 5.812 4.905
Ho 2.013 -5.812 1.635
Al 2.013 6.465 1.635
Al 2.013 2.871 3.611
Al 2.013 2.871 6.199
Al 2.013 0.000 0.000
Al 2.013 0.000 3.270
Al 2.013 -2.871 0.341
Al 2.013 -2.871 2.929
Al 2.013 -6.465 4.905
Ni 2.013 4.168 1.635
Ni 2.013 -4.168 4.905
```

The calculation puts the energy of formation at -556 meV per atom. As for the crystal system: orthorhombic.



No. 4
Compound: ZnTe3
Source: Alexandria via LeMat-Bulk
Functional: PBEsol
Structure: optimized geometry

extended XYZ file:
```
4
Lattice="3.888 0.000 0.000 -1.944 3.367 0.000 0.000 0.000 7.982" Properties=species:S:1:pos:R:3 pbc="T T T"
Zn 0.000 0.000 0.000
Te 0.000 0.000 3.991
Te 1.944 1.122 1.674
Te 1.944 1.122 6.308
```

As for the crystal system: hexagonal. Its uncorrected formation energy is 0.066 eV per atom.



Repeat the fourth record exactly.
Compound: ZnTe3
Source: Alexandria via LeMat-Bulk
Functional: PBEsol
Structure: optimized geometry

extended XYZ file:
```
4
Lattice="3.888 0.000 0.000 -1.944 3.367 0.000 0.000 0.000 7.982" Properties=species:S:1:pos:R:3 pbc="T T T"
Zn 0.000 0.000 0.000
Te 0.000 0.000 3.991
Te 1.944 1.122 1.674
Te 1.944 1.122 6.308
```

As for the crystal system: hexagonal. Its uncorrected formation energy is 0.066 eV per atom.